# LiMnW2

A relaxed structure of LiMnW2 (PBE, the Alexandria database).

CIF file:
```
data_LiMnW2
_chemical_formula_sum 'Li2 Mn2 W4'
_space_group_name_H-M_alt 'C m m m'
_space_group_IT_number 65
_space_group_name_Hall '-C 2 2'
_cell_length_a 5.317
_cell_length_b 8.139
_cell_length_c 2.631
_cell_angle_alpha 90.00
_cell_angle_beta 90.00
_cell_angle_gamma 90.00
loop_
_atom_site_label
_atom_site_type_symbol
_atom_site_fract_x
_atom_site_fract_y
_atom_site_fract_z
Li1 Li 0.000 0.000 0.000
Mn1 Mn 0.000 0.500 0.000
W1 W 0.250 0.250 0.500
```

The energy of formation comes out at 10.88 kcal/mol of atoms. The magnetization is 3.358 μB per cell. The calculation puts the density of states at the Fermi level at 0.955 states/eV per atom. As for the energy relative to the lowest polymorph listed for this composition: 0.139 eV per atom. As for the total DFT energy (no corrections): -8.776 eV per atom.